Computed, not measured: a geometry-optimized PdPbSO structure at the PBE level of DFT.

Unit cell a=6.0815 b=4.4929 c=11.3165 alpha=90.00 beta=90.00 gamma=90.00
With the nearest neighbours (Å) after each atom.
Fractional positions:
Pd 0.1201 0.2500 0.2308  2 O 2.01-2.09
Pd 0.3799 0.7500 0.7308  2 O 2.01-2.09
Pd 0.6201 0.2500 0.2692  2 O 2.01-2.09
Pd 0.8799 0.7500 0.7692  2 O 2.01-2.09
Pb 0.2472 0.2500 0.9311  2 O 2.42
Pb 0.2528 0.7500 0.4311  2 O 2.42
Pb 0.7472 0.2500 0.5689  2 O 2.42
Pb 0.7528 0.7500 0.0689  2 O 2.42
S 0.1773 0.7500 0.1692  2 Pd 2.38
S 0.3227 0.2500 0.6692  2 Pd 2.38
S 0.6773 0.7500 0.3308  2 Pd 2.38
S 0.8227 0.2500 0.8308  2 Pd 2.38
O 0.1523 0.7500 0.8693  2 Pd 2.01-2.09
O 0.3477 0.2500 0.3693  2 Pd 2.01-2.09
O 0.6523 0.7500 0.6307  2 Pd 2.01-2.09
O 0.8477 0.2500 0.1307  2 Pd 2.01-2.09

Computed properties:
ΔE to the lowest computed polymorph = 133 meV/atom



Computed, not measured: a geometry-optimized PdPbSO structure at the PBE level of DFT.

Unit cell a=7.4326 b=7.4326 c=5.8921 alpha=90.00 beta=90.00 gamma=153.42
With the nearest neighbours (Å) after each atom.
Fractional positions:
Pd 0.1265 0.8735 0.7500  2 S 2.25, 2 O 2.35
Pd 0.8735 0.1265 0.2500  2 S 2.25, 2 O 2.35
Pb 0.4181 0.5819 0.7500  4 O 2.55
Pb 0.5819 0.4181 0.2500  4 O 2.55
S 0.2722 0.7278 0.2500  2 Pd 2.25
S 0.7278 0.2722 0.7500  2 Pd 2.25
O 0.0000 0.0000 0.0000  2 Pd 2.35, 4 Pb 2.55
O 0.0000 0.0000 0.5000  2 Pd 2.35, 4 Pb 2.55

Computed properties:
ΔE to the lowest computed polymorph = 283 meV/atom



Computed, not measured: a geometry-optimized PdPbSO structure at the PBE level of DFT.

Unit cell a=4.4964 b=7.8923 c=9.3142 alpha=90.00 beta=90.00 gamma=90.00
With the nearest neighbours (Å) after each atom.
Fractional positions:
Pd 0.0028 0.1292 0.4830  1 O 2.10, 1 S 2.33
Pd 0.4972 0.8708 0.9830  1 O 2.10, 1 S 2.33
Pd 0.5028 0.3708 0.5170  1 O 2.10, 1 S 2.33
Pd 0.9972 0.6292 0.0170  1 O 2.10, 1 S 2.33
Pb 0.0039 0.6918 0.6474  3 O 2.28-2.47
Pb 0.4961 0.3082 0.1474  3 O 2.28-2.47
Pb 0.5039 0.8082 0.3526  3 O 2.28-2.47
Pb 0.9961 0.1918 0.8526  3 O 2.28-2.47
S 0.0034 0.4226 0.4521  3 Pd 2.33-2.37
S 0.4966 0.5774 0.9521  3 Pd 2.33-2.37
S 0.5034 0.0774 0.5479  3 Pd 2.33-2.37
S 0.9966 0.9226 0.0479  3 Pd 2.33-2.37
O 0.0034 0.8657 0.4515  1 Pd 2.10, 1 Pb 2.28
O 0.4966 0.1343 0.9515  1 Pd 2.10, 1 Pb 2.28
O 0.5034 0.6343 0.5485  1 Pd 2.10, 1 Pb 2.28
O 0.9966 0.3657 0.0485  1 Pd 2.10, 1 Pb 2.28

Computed properties:
ΔE to the lowest computed polymorph = 45 meV/atom



Computed, not measured: a geometry-optimized PdPbSO structure at the PBE level of DFT.

Unit cell a=4.2010 b=4.2010 c=8.4133 alpha=90.00 beta=90.00 gamma=90.00
With the nearest neighbours (Å) after each atom.
Fractional positions:
Pd 0.2500 0.2500 0.0472  4 O 2.14
Pd 0.7500 0.7500 0.9528  4 O 2.14
Pb 0.2500 0.2500 0.6862  5 S 2.79-2.99, 1 Pd 3.04
Pb 0.7500 0.7500 0.3138  5 S 2.79-2.99, 1 Pd 3.04
S 0.2500 0.2500 0.3540  1 Pd 2.58, 1 Pb 2.79
S 0.7500 0.7500 0.6460  1 Pd 2.58, 1 Pb 2.79
O 0.2500 0.7500 0.0000  4 Pd 2.14
O 0.7500 0.2500 0.0000  4 Pd 2.14

Computed properties:
ΔE to the lowest computed polymorph = 299 meV/atom



Computed, not measured: a geometry-optimized Sb2Pd3Pb3O12 structure at the PBE level of DFT.

Unit cell a=11.4608 b=11.4608 c=11.4608 alpha=109.47 beta=109.47 gamma=109.47
With the nearest neighbours (Å) after each atom.
Fractional positions:
Sb 0.0000 0.0000 0.0000  6 O 2.02
Sb 0.0000 0.0000 0.5000  6 O 2.02
Sb 0.0000 0.5000 0.0000  6 O 2.02
Sb 0.0000 0.5000 0.5000  6 O 2.02
Sb 0.5000 0.0000 0.0000  6 O 2.02
Sb 0.5000 0.0000 0.5000  6 O 2.02
Sb 0.5000 0.5000 0.0000  6 O 2.02
Sb 0.5000 0.5000 0.5000  6 O 2.02
Pd 0.1250 0.7500 0.8750  4 O 2.06
Pd 0.1250 0.8750 0.2500  4 O 2.06
Pd 0.2500 0.1250 0.8750  4 O 2.06
Pd 0.2500 0.6250 0.3750  4 O 2.06
Pd 0.3750 0.2500 0.6250  4 O 2.06
Pd 0.3750 0.6250 0.7500  4 O 2.06
Pd 0.6250 0.3750 0.2500  4 O 2.06
Pd 0.6250 0.7500 0.3750  4 O 2.06
Pd 0.7500 0.3750 0.6250  4 O 2.06
Pd 0.7500 0.8750 0.1250  4 O 2.06
Pd 0.8750 0.1250 0.7500  4 O 2.06
Pd 0.8750 0.2500 0.1250  4 O 2.06
Pb 0.1250 0.2500 0.3750  8 O 2.50-2.69
Pb 0.1250 0.3750 0.7500  8 O 2.50-2.69
Pb 0.2500 0.3750 0.1250  8 O 2.50-2.69
Pb 0.2500 0.8750 0.6250  8 O 2.50-2.69
Pb 0.3750 0.1250 0.2500  8 O 2.50-2.69
Pb 0.3750 0.7500 0.1250  8 O 2.50-2.69
Pb 0.6250 0.2500 0.8750  8 O 2.50-2.69
Pb 0.6250 0.8750 0.7500  8 O 2.50-2.69
Pb 0.7500 0.1250 0.3750  8 O 2.50-2.69
Pb 0.7500 0.6250 0.8750  8 O 2.50-2.69
Pb 0.8750 0.6250 0.2500  8 O 2.50-2.69
Pb 0.8750 0.7500 0.6250  8 O 2.50-2.69
O 0.0258 0.1916 0.1204  1 Sb 2.02, 1 Pd 2.06
O 0.0258 0.3342 0.9054  1 Sb 2.02, 1 Pd 2.06
O 0.0712 0.6916 0.6658  1 Sb 2.02, 1 Pd 2.06
O 0.0712 0.8796 0.4054  1 Sb 2.02, 1 Pd 2.06
O 0.0946 0.6204 0.4288  1 Sb 2.02, 1 Pd 2.06
O 0.0946 0.9742 0.6658  1 Sb 2.02, 1 Pd 2.06
O 0.1204 0.0258 0.1916  1 Sb 2.02, 1 Pd 2.06
O 0.1204 0.5946 0.9288  1 Sb 2.02, 1 Pd 2.06
O 0.1658 0.1916 0.5712  1 Sb 2.02, 1 Pd 2.06
O 0.1658 0.4742 0.5946  1 Sb 2.02, 1 Pd 2.06
O 0.1916 0.1204 0.0258  1 Sb 2.02, 1 Pd 2.06
O 0.1916 0.5712 0.1658  1 Sb 2.02, 1 Pd 2.06
O 0.3084 0.3342 0.9288  1 Sb 2.02, 1 Pd 2.06
O 0.3084 0.4742 0.3796  1 Sb 2.02, 1 Pd 2.06
O 0.3342 0.9054 0.0258  1 Sb 2.02, 1 Pd 2.06
O 0.3342 0.9288 0.3084  1 Sb 2.02, 1 Pd 2.06
O 0.3796 0.3084 0.4742  1 Sb 2.02, 1 Pd 2.06
O 0.3796 0.5712 0.9054  1 Sb 2.02, 1 Pd 2.06
O 0.4054 0.0712 0.8796  1 Sb 2.02, 1 Pd 2.06
O 0.4054 0.8342 0.5258  1 Sb 2.02, 1 Pd 2.06
O 0.4288 0.0946 0.6204  1 Sb 2.02, 1 Pd 2.06
O 0.4288 0.8342 0.8084  1 Sb 2.02, 1 Pd 2.06
O 0.4742 0.3796 0.3084  1 Sb 2.02, 1 Pd 2.06
O 0.4742 0.5946 0.1658  1 Sb 2.02, 1 Pd 2.06
O 0.5258 0.4054 0.8342  1 Sb 2.02, 1 Pd 2.06
O 0.5258 0.6204 0.6916  1 Sb 2.02, 1 Pd 2.06
O 0.5712 0.1658 0.1916  1 Sb 2.02, 1 Pd 2.06
O 0.5712 0.9054 0.3796  1 Sb 2.02, 1 Pd 2.06
O 0.5946 0.1658 0.4742  1 Sb 2.02, 1 Pd 2.06
O 0.5946 0.9288 0.1204  1 Sb 2.02, 1 Pd 2.06
O 0.6204 0.4288 0.0946  1 Sb 2.02, 1 Pd 2.06
O 0.6204 0.6916 0.5258  1 Sb 2.02, 1 Pd 2.06
O 0.6658 0.0712 0.6916  1 Sb 2.02, 1 Pd 2.06
O 0.6658 0.0946 0.9742  1 Sb 2.02, 1 Pd 2.06
O 0.6916 0.5258 0.6204  1 Sb 2.02, 1 Pd 2.06
O 0.6916 0.6658 0.0712  1 Sb 2.02, 1 Pd 2.06
O 0.8084 0.4288 0.8342  1 Sb 2.02, 1 Pd 2.06
O 0.8084 0.8796 0.9742  1 Sb 2.02, 1 Pd 2.06
O 0.8342 0.5258 0.4054  1 Sb 2.02, 1 Pd 2.06
O 0.8342 0.8084 0.4288  1 Sb 2.02, 1 Pd 2.06
O 0.8796 0.4054 0.0712  1 Sb 2.02, 1 Pd 2.06
O 0.8796 0.9742 0.8084  1 Sb 2.02, 1 Pd 2.06
O 0.9054 0.0258 0.3342  1 Sb 2.02, 1 Pd 2.06
O 0.9054 0.3796 0.5712  1 Sb 2.02, 1 Pd 2.06
O 0.9288 0.1204 0.5946  1 Sb 2.02, 1 Pd 2.06
O 0.9288 0.3084 0.3342  1 Sb 2.02, 1 Pd 2.06
O 0.9742 0.6658 0.0946  1 Sb 2.02, 1 Pd 2.06
O 0.9742 0.8084 0.8796  1 Sb 2.02, 1 Pd 2.06

Computed properties:
Final energy = -5.4259 eV per atom



Computed, not measured: a geometry-optimized PdPbSeO structure at the PBE level of DFT.

Unit cell a=4.0323 b=4.0323 c=9.4695 alpha=90.00 beta=90.00 gamma=90.00
With the nearest neighbours (Å) after each atom.
Fractional positions:
Pd 0.2500 0.2500 0.1713  1 O 2.19
Pd 0.7500 0.7500 0.8287  1 O 2.19
Pb 0.2500 0.2500 0.6387  1 O 2.24
Pb 0.7500 0.7500 0.3613  1 O 2.24
Se 0.2500 0.7500 0.0000  4 Pd 2.59, 4 Se 2.85
Se 0.7500 0.2500 0.0000  4 Pd 2.59, 4 Se 2.85
O 0.2500 0.2500 0.4024  1 Pd 2.19, 1 Pb 2.24
O 0.7500 0.7500 0.5976  1 Pd 2.19, 1 Pb 2.24

Computed properties:
ΔE to the lowest computed polymorph = 187 meV/atom



Computed, not measured: a geometry-optimized PdPbSeO structure at the PBE level of DFT.

Unit cell a=4.0739 b=4.0739 c=9.3436 alpha=90.00 beta=90.00 gamma=90.00
With the nearest neighbours (Å) after each atom.
Fractional positions:
Pd 0.2500 0.2500 0.1689  1 O 2.19
Pd 0.7500 0.7500 0.8311  1 O 2.19
Pb 0.2500 0.2500 0.6407  1 O 2.22
Pb 0.7500 0.7500 0.3593  1 O 2.22
Se 0.2500 0.7500 0.0000  4 Pd 2.58, 4 Se 2.88
Se 0.7500 0.2500 0.0000  4 Pd 2.58, 4 Se 2.88
O 0.2500 0.2500 0.4031  1 Pd 2.19, 1 Pb 2.22
O 0.7500 0.7500 0.5969  1 Pd 2.19, 1 Pb 2.22

Computed properties:
ΔE to the lowest computed polymorph = 183 meV/atom



Computed, not measured: a geometry-optimized PdPbSeO structure at the PBE level of DFT.

Unit cell a=3.8611 b=3.8611 c=10.9704 alpha=90.00 beta=90.00 gamma=90.00
With the nearest neighbours (Å) after each atom.
Fractional positions:
Pd 0.2500 0.7500 0.0000  4 Se 2.52, 4 Pd 2.73
Pd 0.7500 0.2500 0.0000  4 Se 2.52, 4 Pd 2.73
Pb 0.2500 0.2500 0.3810  1 O 2.20
Pb 0.7500 0.7500 0.6190  1 O 2.20
Se 0.2500 0.2500 0.8527  4 Pd 2.52
Se 0.7500 0.7500 0.1473  4 Pd 2.52
O 0.2500 0.2500 0.5813  1 Pb 2.20
O 0.7500 0.7500 0.4187  1 Pb 2.20

Computed properties:
ΔE to the lowest computed polymorph = 80 meV/atom



Computed, not measured: a geometry-optimized PdPbSeO structure at the PBE level of DFT.

Unit cell a=5.8416 b=8.5214 c=6.3713 alpha=90.00 beta=90.00 gamma=90.00
With the nearest neighbours (Å) after each atom.
Fractional positions:
Pd 0.1569 0.1407 0.0000  2 O 2.13-2.14
Pd 0.3431 0.1407 0.5000  2 O 2.13-2.14
Pd 0.6569 0.8593 0.0000  2 O 2.13-2.14
Pd 0.8431 0.8593 0.5000  2 O 2.13-2.14
Pb 0.0804 0.7630 0.0722  1 O 2.28
Pb 0.4196 0.7630 0.5722  1 O 2.28
Pb 0.5804 0.2370 0.0722  1 O 2.28
Pb 0.9196 0.2370 0.5722  1 O 2.28
Se 0.0099 0.6209 0.6422  1 Pd 2.43, 1 Pb 2.72
Se 0.4901 0.6209 0.1422  1 Pd 2.43, 1 Pb 2.72
Se 0.5099 0.3791 0.6422  1 Pd 2.43, 1 Pb 2.72
Se 0.9901 0.3791 0.1422  1 Pd 2.43, 1 Pb 2.72
O 0.1783 0.9302 0.4021  2 Pd 2.13-2.14, 1 Pb 2.28
O 0.3217 0.9302 0.9021  2 Pd 2.13-2.14, 1 Pb 2.28
O 0.6783 0.0698 0.4021  2 Pd 2.13-2.14, 1 Pb 2.28
O 0.8217 0.0698 0.9021  2 Pd 2.13-2.14, 1 Pb 2.28

Computed properties:
ΔE to the lowest computed polymorph = 189 meV/atom